Pr6AgSn GGA-PBE relaxed; electronic total energy = -0.1697 Ha/atom; D(E_F) = 9.8 states/eV/f.u.; M_tot = 0.000 μB per formula unit; theoretical density = 7013 kg/m3
1.0
9.213 0.010 0.189
4.602 7.402 -0.134
4.523 2.382 3.744
Pr Ag Sn
6 1 1
Cartesian
5.792 5.193 2.837
14.697 8.963 2.730
7.015 2.279 0.752
3.641 0.831 1.069
12.546 4.601 0.962
11.323 7.515 3.047
0.000 0.000 0.000
9.169 4.897 1.899